(1)
{"formula": "AlNi4Cl", "functional": "PBE-GGA", "state": "relaxed", "cell": [[0.0000, 3.4071, 3.4071], [3.4071, 0.0000, 3.4071], [3.4071, 3.4071, 0.0000]], "species": ["Al", "Ni", "Ni", "Ni", "Ni", "Cl"], "frac_coords": [[0.0000, 0.0000, 0.0000], [0.3740, 0.3740, 0.3740], [0.3740, 0.3740, 0.8781], [0.3740, 0.8781, 0.3740], [0.8781, 0.3740, 0.3740], [0.7500, 0.7500, 0.7500]], "spacegroup": "F-43m (216)", "n_ef_per_ev_fu": 6.80, "formation_energy_uncorrected_kj_per_mol_atoms": 29.6}

=====

(2)
{"formula": "SrMnS", "functional": "PBE-GGA", "state": "relaxed", "cell": [[3.9146, 0.0000, 0.0000], [0.0000, 3.7926, 0.0000], [-1.9487, 0.0000, 9.6290]], "species": ["Sr", "Sr", "Mn", "Mn", "S", "S"], "frac_coords": [[0.0000, 0.0000, 0.0000], [0.3126, 0.0000, 0.6209], [0.1543, 0.5000, 0.3086], [0.6562, 0.0000, 0.3123], [0.5691, 0.5000, 0.1384], [0.8826, 0.5000, 0.7606]], "spacegroup": "Pm (6)", "n_ef_per_ev_fu": 1.46, "formation_energy_uncorrected_kj_per_mol_atoms": -75.1}

=====

(3)
{"formula": "Sr3H", "functional": "PBE-GGA", "state": "relaxed", "cell": [[0.0000, 5.5311, 5.5311], [5.5311, 0.0000, 5.5311], [5.5311, 5.5311, 0.0000]], "species": ["Sr", "Sr", "Sr", "Sr", "Sr", "Sr", "H", "H"], "frac_coords": [[0.0000, 0.0000, 0.0000], [0.0000, 0.0000, 0.5000], [0.0000, 0.5000, 0.0000], [0.3750, 0.3750, 0.3750], [0.5000, 0.0000, 0.0000], [0.6250, 0.6250, 0.6250], [0.1250, 0.1250, 0.1250], [0.8750, 0.8750, 0.8750]], "spacegroup": "Fd-3m (227)", "n_ef_per_ev_fu": 1.36}

=====

(4)
{"formula": "LiBe2Rh2", "functional": "PBE-GGA", "state": "relaxed", "cell": [[3.9701, 0.0000, 0.0000], [0.0000, 3.9701, 0.0000], [0.0000, 0.0000, 8.6398]], "species": ["Li", "Li", "Be", "Be", "Be", "Be", "Rh", "Rh", "Rh", "Rh"], "frac_coords": [[0.0000, 0.0000, 0.0000], [0.5000, 0.5000, 0.5000], [0.0000, 0.5000, 0.2500], [0.0000, 0.5000, 0.7500], [0.5000, 0.0000, 0.2500], [0.5000, 0.0000, 0.7500], [0.0000, 0.0000, 0.3553], [0.0000, 0.0000, 0.6447], [0.5000, 0.5000, 0.1447], [0.5000, 0.5000, 0.8553]], "formation_energy_ev_per_atom": -0.11, "spacegroup": "I4/mmm (139)", "n_ef_per_ev_fu": 2.33}

=====

(5)
{"formula": "BiO2", "functional": "PBE-GGA", "state": "relaxed", "cell": [[6.2394, -2.6298, 0.0000], [6.2394, 2.6298, 0.0000], [-1.6454, 0.0000, 5.5158]], "species": ["Bi", "Bi", "Bi", "Bi", "O", "O", "O", "O", "O", "O", "O", "O"], "frac_coords": [[0.0000, 0.5000, 0.0000], [0.2302, 0.7698, 0.7500], [0.5000, 0.0000, 0.5000], [0.7698, 0.2302, 0.2500], [0.0186, 0.1701, 0.9804], [0.1701, 0.0186, 0.4804], [0.2893, 0.3654, 0.3272], [0.3654, 0.2893, 0.8272], [0.6346, 0.7107, 0.1728], [0.7107, 0.6346, 0.6728], [0.8299, 0.9814, 0.5196], [0.9814, 0.8299, 0.0196]], "spacegroup": "C2/c (15)", "formation_energy_uncorrected_kj_per_mol_atoms": -96.1}

=====

(6)
{"formula": "LiMn2Co", "functional": "PBE-GGA", "state": "relaxed", "cell": [[2.4824, 0.0000, 0.0000], [0.0000, 4.0107, 0.0000], [-0.5426, 0.0000, 4.6730]], "species": ["Li", "Mn", "Mn", "Co"], "frac_coords": [[0.0000, 0.0000, 0.0000], [0.4944, 0.0000, 0.5067], [0.7975, 0.5000, 0.2752], [0.2720, 0.5000, 0.7832]], "formation_energy_ev_per_atom": 0.22, "spacegroup": "Pm (6)", "n_ef_per_ev_fu": 3.54}

=====

Ordered E_tot results: -4.479 -5.771 -2.269 -4.923 -5.596 -6.615; unit eV/atom.